A plane-wave DFT calculation with GGA-PBE was carried out for SrCa8Hg6 after structural relaxation.

abc: 8.374 8.374 8.374
angles: 67.93 67.93 67.93
Element x y z (fractional)
Sr 0.000 0.000 0.000
Ca 0.111 0.447 0.777
Ca 0.223 0.889 0.553
Ca 0.333 0.333 0.333
Ca 0.447 0.777 0.111
Ca 0.553 0.223 0.889
Ca 0.667 0.667 0.667
Ca 0.777 0.111 0.447
Ca 0.889 0.553 0.223
Hg 0.055 0.716 0.394
Hg 0.284 0.606 0.945
Hg 0.394 0.055 0.716
Hg 0.606 0.945 0.284
Hg 0.716 0.394 0.055
Hg 0.945 0.284 0.606

SG   R-3
Total energy   -25.64 eV/f.u.
Size of the total moment   0.00 μB per cell